(1)
Density functional theory data (PBE) for a relaxed structure of TaNiRh4.

Cell: 5.0568 5.0568 5.0568 Å, 60.00 60.00 60.00°
Atoms (fractional coordinates):
Ta  0.7500  0.7500  0.7500
Ni  0.0000  0.0000  0.0000
Rh  0.8764  0.3745  0.3745
Rh  0.3745  0.3745  0.8764
Rh  0.3745  0.8764  0.3745
Rh  0.3745  0.3745  0.3745

Computed properties:
Total magnetization, μB per cell: 1.2
Relative energy among the computed polymorphs, meV/atom: 201
Energy relative to the elements, eV/atom: 0.0550

(2)
Density functional theory data (PBE) for a relaxed structure of Ta6NiRh5.

Cell: 4.0065 7.4922 7.4922 Å, 108.89 105.49 105.49°
Atoms (fractional coordinates):
Ni  0.0000  0.0000  0.0000
Rh  0.5000  0.1634  0.8366
Rh  0.0000  0.3327  0.6673
Rh  0.5000  0.5000  0.5000
Rh  0.0000  0.6673  0.3327
Rh  0.5000  0.8366  0.1634
Ta  0.2482  0.0828  0.4136
Ta  0.7518  0.5864  0.9172
Ta  0.7464  0.2464  0.2464
Ta  0.2536  0.7536  0.7536
Ta  0.2482  0.4136  0.0828
Ta  0.7518  0.9172  0.5864

Computed properties:
Total magnetization, μB per cell: 0.0
Energy relative to the elements, eV/atom: -0.4271

(3)
Density functional theory data (PBE) for a relaxed structure of TaNi7Rh2.

Cell: 2.5756 7.8517 7.8516 Å, 119.00 90.00 90.00°
Atoms (fractional coordinates):
Ta  0.0000  0.0000  0.0000
Ni  0.0000  0.6496  0.3504
Ni  0.0000  0.3504  0.6496
Ni  0.5000  0.1504  0.3422
Ni  0.5000  0.8496  0.6578
Ni  0.5000  0.3422  0.1504
Ni  0.5000  0.6578  0.8496
Ni  0.5000  0.5000  0.5000
Rh  0.5000  0.8041  0.1959
Rh  0.5000  0.1959  0.8041

Computed properties:
Total magnetization, μB per cell: 2.6
Energy relative to the elements, eV/atom: 0.3012